Density functional theory data (PBE+U) for a relaxed LiPuMn2O6 crystal.

Summary:
- Electronic total energy: -81.308 eV/cell
- N(E_F): 0.191 states/eV/atom
- V: 12.28 A^3/atom

Unit cell a=5.3838 b=5.3841 c=5.7959 alpha=62.31 beta=62.31 gamma=60.01
With the nearest neighbours (Å) after each atom.
Fractional positions:
O1 0.9336 0.5943 0.2400  1 Pu 2.06, 2 Mn 2.08-2.20
O2 0.1191 0.4077 0.7641  1 Pu 2.05, 1 Li 2.09, 1 Mn 2.12
O3 0.4078 0.7092 0.7642  1 Pu 2.05, 1 Li 2.09, 1 Mn 2.12
O4 0.7091 0.1191 0.7642  1 Pu 2.05, 1 Li 2.09, 1 Mn 2.12
O5 0.2318 0.9336 0.2402  1 Pu 2.06, 2 Mn 2.08-2.20
O6 0.5943 0.2319 0.2401  1 Pu 2.06, 2 Mn 2.08-2.20
Mn1 0.5269 0.5269 0.4191  6 O 2.08-2.32
Mn2 0.0136 0.0135 0.9592  6 O 2.12-2.20
Li1 0.8017 0.8017 0.5953  3 O 2.09
Pu1 0.3237 0.3237 0.0288  6 O 2.05-2.06